PmFe3B4O12 | GGA+U | relaxed

Cell and atoms, written as POSCAR:
```
PmFe3B4O12
1.0
-3.907 0.634 4.704
-2.900 -3.864 -3.802
4.566 -3.391 2.334
O B Fe Pm
12 4 3 1
direct
0.909 0.500 0.091
0.029 0.628 0.791
0.500 0.357 0.643
0.091 0.909 0.500
0.971 0.209 0.372
0.372 0.971 0.209
0.628 0.791 0.029
0.209 0.372 0.971
0.500 0.091 0.909
0.791 0.029 0.628
0.643 0.500 0.357
0.357 0.643 0.500
0.053 0.500 0.947
0.947 0.053 0.500
0.500 0.947 0.053
0.500 0.500 0.500
0.450 0.000 0.550
0.550 0.450 0.000
0.000 0.550 0.450
0.000 0.000 0.000
```

## Properties
DOS at the Fermi energy ... 0.00 states/eV per atom
Symmetry ... R32 (155)
E_tot ... -0.5612 Ry/atom